PaCd4Bi | PBE | relaxed

Mass density ... 9.73 g/cm3
Formation enthalpy at 0 K ... 4.66 kcal/mol of atoms
Density of states at the Fermi level ... 9.86 states/eV per cell

Unit cell a=5.988 b=5.988 c=5.988 alpha=60.00 beta=60.00 gamma=60.00
Element x y z (fractional)
Pa 0.000 0.000 0.000
Cd 0.125 0.625 0.625
Cd 0.625 0.125 0.625
Cd 0.625 0.625 0.125
Cd 0.625 0.625 0.625
Bi 0.250 0.250 0.250


Pa2CdBi4 | PBE | relaxed

Mass density ... 10.94 g/cm3
Formation enthalpy at 0 K ... -1.17 kcal/mol of atoms
Density of states at the Fermi level ... 10.80 states/eV per cell

Unit cell a=4.544 b=4.544 c=10.364 alpha=90.00 beta=90.00 gamma=90.00
Element x y z (fractional)
Pa 0.000 0.500 0.239
Pa 0.500 0.000 0.761
Cd 0.000 0.000 0.500
Bi 0.000 0.000 0.000
Bi 0.000 0.500 0.690
Bi 0.500 0.000 0.310
Bi 0.500 0.500 0.000


PaCdBiPb | PBE | relaxed

Mass density ... 11.76 g/cm3
Formation enthalpy at 0 K ... -2.06 kcal/mol of atoms
Density of states at the Fermi level ... 4.89 states/eV per cell

Unit cell a=4.328 b=4.929 c=5.028 alpha=90.00 beta=90.00 gamma=90.00
Element x y z (fractional)
Pa 0.000 0.000 0.000
Cd 0.000 0.500 0.500
Bi 0.500 0.500 0.000
Pb 0.500 0.000 0.500


PaCdSnBi | PBE | relaxed

Mass density ... 10.29 g/cm3
Formation enthalpy at 0 K ... 2.79 kcal/mol of atoms
Density of states at the Fermi level ... 5.59 states/eV per cell

Unit cell a=5.351 b=5.351 c=5.351 alpha=60.00 beta=60.00 gamma=60.00
Element x y z (fractional)
Pa 0.000 0.000 0.000
Cd 0.500 0.500 0.500
Sn 0.750 0.750 0.750
Bi 0.250 0.250 0.250